Compound: NaPmPb2
Source: OQMD via LeMat-Bulk
Functional: GGA-PBE
Structure: optimized geometry

Cell and atoms, written as extended XYZ:
```
4
Lattice="-1.6446 -3.9275 -2.6247 4.7207 -1.4672 -0.7625 -0.1561 -2.4874 3.8198" Properties=species:S:1:pos:R:3 pbc="T T T"
Pb -0.8223 -1.9637 -1.3124
Pb 2.3603 -0.7336 -0.3812
Na 1.4600 -3.9411 0.2163
Pm -0.0781 -1.2437 1.9099
```

Computed properties:
theoretical density: 8.475 g/cm³
E_tot: -3.745 eV per atom
magnetization: 0.00 μB/f.u.



Compound: NaPrPb
Source: OQMD via LeMat-Bulk
Functional: GGA-PBE
Structure: optimized geometry

Cell and atoms, written as extended XYZ:
```
3
Lattice="3.0527 -3.1320 2.9776 -1.8368 -1.9025 4.5827 -1.1429 -5.1456 0.4601" Properties=species:S:1:pos:R:3 pbc="T T T"
Pr 0.0548 -7.6351 6.0153
Pb 0.0000 0.0000 0.0000
Na 0.0183 -2.5450 2.0051
```

Computed properties:
theoretical density: 5.884 g/cm³
E_tot: -3.519 eV per atom
magnetization: 0.00 μB/f.u.



Compound: NaPt4Pb
Source: OQMD via LeMat-Bulk
Functional: GGA-PBE
Structure: optimized geometry

Cell and atoms, written as extended XYZ:
```
6
Lattice="0.0000 3.8414 3.8414 3.8414 0.0000 3.8414 3.8414 3.8414 0.0000" Properties=species:S:1:pos:R:3 pbc="T T T"
Pt 4.8022 2.8807 2.8807
Pt 4.8022 4.8022 4.8022
Pt 2.8807 4.8022 2.8807
Pt 2.8807 2.8807 4.8022
Na 0.0000 0.0000 0.0000
Pb 1.9207 1.9207 1.9207
```

Computed properties:
theoretical density: 14.801 g/cm³
E_tot: -5.175 eV per atom
magnetization: 0.01 μB/f.u.



Compound: NaPt3Pb5
Source: OQMD via LeMat-Bulk
Functional: GGA-PBE
Structure: optimized geometry

Cell and atoms, written as extended XYZ:
```
9
Lattice="-2.8802 4.2845 2.4837 3.2953 -3.4522 3.1693 6.6405 5.1895 -1.2517" Properties=species:S:1:pos:R:3 pbc="T T T"
Pb 6.5055 3.2442 1.9476
Pb 2.6086 0.1987 2.6822
Pb 0.5501 2.7776 2.4537
Pb 3.3203 2.5948 -0.6258
Pb 4.4471 5.8231 1.7191
Pt 1.8802 4.7370 0.6160
Pt 3.5278 3.0109 2.2006
Pt 4.9679 0.8686 0.9588
Na 0.0000 0.0000 0.0000
```

Computed properties:
theoretical density: 11.274 g/cm³
E_tot: -4.353 eV per atom
magnetization: 0.01 μB/f.u.